1.
La2Ho7Mg2: relaxed, PBE.

Cell lengths 8.5644, 6.5312, 6.5312 Å; angles 97.05, 77.59, 77.59 degrees
Fractional positions:
Ho: 0.1740 0.4727 0.1163
La: 0.5000 0.3164 0.6836
Ho: 0.1740 0.1163 0.4727
Ho: 0.8260 0.5273 0.8837
Mg: 0.1612 0.6162 0.6162
Ho: 0.0000 0.0000 0.0000
La: 0.5000 0.6836 0.3164
Ho: 0.5862 0.1430 0.1430
Ho: 0.8260 0.8837 0.5273
Ho: 0.4138 0.8570 0.8570
Mg: 0.8388 0.3838 0.3838

Output
Theoretical density = 7.17 g/cm3
Energy relative to the elements = 0.077 eV/atom

2.
LiTa2Ni9: relaxed, PBE.

Cell lengths 3.6515, 3.6515, 10.7226 Å; angles 90.00, 90.00, 90.00 degrees
Fractional positions:
Ni: 0.5000 0.5000 0.6674
Ni: 0.5000 0.0000 0.5000
Ni: 0.5000 0.0000 0.1602
Ni: 0.0000 0.5000 0.1602
Ni: 0.0000 0.5000 0.8398
Ni: 0.5000 0.5000 0.3326
Ni: 0.5000 0.0000 0.8398
Ni: 0.0000 0.5000 0.5000
Li: 0.0000 0.0000 0.0000
Ni: 0.5000 0.5000 0.0000
Ta: 0.0000 0.0000 0.6786
Ta: 0.0000 0.0000 0.3214

Output
Theoretical density = 10.42 g/cm3
Energy relative to the elements = -0.259 eV/atom

3.
Ag2Au3Br8: relaxed, PBE.

Cell lengths 6.8167, 8.4355, 17.7976 Å; angles 82.56, 90.00, 113.83 degrees
Fractional positions:
Br: 0.2732 0.6010 0.0515
Au: 0.9738 0.4645 0.6251
Br: 0.0301 0.2322 0.3796
Ag: 0.1251 0.6993 0.1742
Br: 0.7979 0.7678 0.1204
Br: 0.3060 0.6701 0.7896
Br: 0.8160 0.8432 0.8797
Br: 0.9699 0.7678 0.6204
Br: 0.9728 0.1568 0.6203
Br: 0.0272 0.8432 0.3797
Br: 0.6360 0.3299 0.7104
Ag: 0.4259 0.3007 0.3258
Au: 0.5093 0.5355 0.8749
Br: 0.3279 0.6010 0.5515
Au: 0.8737 0.0000 0.7500
Br: 0.2021 0.2322 0.8796
Au: 0.4907 0.4645 0.1251
Br: 0.1840 0.1568 0.1203
Br: 0.3640 0.6701 0.2896
Br: 0.6721 0.3990 0.4485
Au: 0.0262 0.5355 0.3749
Br: 0.7268 0.3990 0.9485
Br: 0.6940 0.3299 0.2104
Ag: 0.8749 0.3007 0.8258
Ag: 0.5741 0.6993 0.6742
Au: 0.1263 0.0000 0.2500

Output
Theoretical density = 5.18 g/cm3
Formation energy without anion corrections = -2.332 eV per formula unit

4.
CaScRh: relaxed, PBE.

Cell lengths 3.7905, 3.7905, 6.3937 Å; angles 90.00, 90.00, 120.00 degrees
Fractional positions:
Rh: 0.6667 0.3333 0.3627
Sc: 0.3333 0.6667 0.5672
Ca: 0.0000 0.0000 0.0701

Output
Theoretical density = 3.92 g/cm3
Energy relative to the elements = -0.331 eV/atom
Polymorph energy (0 for the lowest one) = 276 meV/atom

5.
MgTcMoIr: relaxed, PBE.

Cell lengths 4.4080, 4.4080, 4.4080 Å; angles 60.00, 60.00, 60.00 degrees
Fractional positions:
Ir: 0.0000 0.0000 0.0000
Mg: 0.7500 0.7500 0.7500
Mo: 0.2500 0.2500 0.2500
Tc: 0.5000 0.5000 0.5000

Output
Theoretical density = 11.25 g/cm3
Energy relative to the elements = -0.117 eV/atom

6.
Mn2Pt: relaxed, PBE.

Cell lengths 4.2697, 4.2697, 4.2697 Å; angles 60.00, 60.00, 60.00 degrees
Fractional positions:
Mn: 0.2500 0.2500 0.2500
Pt: 0.0000 0.0000 0.0000
Mn: 0.7500 0.7500 0.7500

Output
Theoretical density = 9.20 g/cm3
Energy relative to the elements = 0.165 eV/atom

7.
SrPbS2Cl: relaxed, PBE.

Cell lengths 5.2771, 5.2771, 5.3365 Å; angles 90.00, 90.00, 90.00 degrees
Fractional positions:
S: 0.5000 0.0000 0.0000
Pb: 0.0000 0.0000 0.0000
Cl: 0.0000 0.0000 0.5000
S: 0.0000 0.5000 0.0000
Sr: 0.5000 0.5000 0.5000

Output
Theoretical density = 4.41 g/cm3
Polymorph energy (0 for the lowest one) = 0 meV/atom
Formation energy without anion corrections = -4.378 eV per formula unit

8.
ScNiI2: relaxed, PBE.

Cell lengths 5.0586, 5.0586, 5.0586 Å; angles 60.00, 60.00, 60.00 degrees
Fractional positions:
Ni: 0.5000 0.5000 0.5000
I: 0.2500 0.2500 0.2500
I: 0.7500 0.7500 0.7500
Sc: 0.0000 0.0000 0.0000

Output
Theoretical density = 6.48 g/cm3
Polymorph energy (0 for the lowest one) = 166 meV/atom
Formation energy without anion corrections = 0.077 eV per formula unit

- The lowest theoretical density belongs to which entry?
  CaScRh

- Which value of theoretical density does entry 8 give?
  6.48 g/cm3

- Which of these has the highest theoretical density?
  MgTcMoIr